# K2LiY PBE optimized geometry
# formation enthalpy at 0 K: 1.6 eV/f.u.
# M_tot: 0.2 Bohr magnetons per cell
data_K2LiY
_cell_length_a 3.6062
_cell_length_b 3.6062
_cell_length_c 13.1125
_cell_angle_alpha 90.00
_cell_angle_beta 90.00
_cell_angle_gamma 90.00
_symmetry_space_group_name_H-M 'P 4/m m m'
_symmetry_Int_Tables_number 123
_symmetry_space_group_name_Hall '-P 4 2'
loop_
_atom_site_label
_atom_site_type_symbol
_atom_site_fract_x
_atom_site_fract_y
_atom_site_fract_z
K1 K 0.0000 0.0000 0.2378
Li1 Li 0.5000 0.5000 0.0000
Y1 Y 0.5000 0.5000 0.5000